Version a
# LaRe2H

A geometry-optimized LaRe2H structure (PBE, the Alexandria database).

Values from the calculation:
* space-group type: Fm-3m
* total magnetization: 0.00 Bohr magnetons per cell

abc: 6.3172 6.3172 6.3172
angles: 90.00 90.00 90.00
Closest atoms and distances in Å follow each position.
Sites, in units of the cell vectors:
La 0.0000 0.0000 0.0000  8 Re 2.74
La 0.0000 0.5000 0.5000  8 Re 2.74
La 0.5000 0.0000 0.5000  8 Re 2.74
La 0.5000 0.5000 0.0000  8 Re 2.74
Re 0.2500 0.2500 0.2500  4 H 2.74, 4 La 2.74
Re 0.2500 0.2500 0.7500  4 H 2.74, 4 La 2.74
Re 0.2500 0.7500 0.2500  4 H 2.74, 4 La 2.74
Re 0.2500 0.7500 0.7500  4 H 2.74, 4 La 2.74
Re 0.7500 0.2500 0.2500  4 H 2.74, 4 La 2.74
Re 0.7500 0.2500 0.7500  4 H 2.74, 4 La 2.74
Re 0.7500 0.7500 0.2500  4 H 2.74, 4 La 2.74
Re 0.7500 0.7500 0.7500  4 H 2.74, 4 La 2.74
H 0.0000 0.0000 0.5000  8 Re 2.74
H 0.0000 0.5000 0.0000  8 Re 2.74
H 0.5000 0.0000 0.0000  8 Re 2.74
H 0.5000 0.5000 0.5000  8 Re 2.74

***

Version b
# LaRe2H

A geometry-optimized LaRe2H structure (PBE, the Alexandria database).

Values from the calculation:
* space-group type: I4_1/amd
* total magnetization: 0.00 Bohr magnetons per cell

abc: 5.5206 5.5206 8.7009
angles: 90.00 90.00 90.00
Closest atoms and distances in Å follow each position.
Sites, in units of the cell vectors:
La 0.0000 0.2500 0.3750  12 Re 3.27-3.54, 4 H 3.51, 4 La 3.51
La 0.0000 0.7500 0.6250  12 Re 3.27-3.54, 4 H 3.51, 4 La 3.51
La 0.5000 0.2500 0.1250  12 Re 3.27-3.54, 4 La 3.51, 4 H 3.51
La 0.5000 0.7500 0.8750  12 Re 3.27-3.54, 4 La 3.51, 4 H 3.51
Re 0.0000 0.0000 0.0000  2 H 1.76
Re 0.0000 0.5000 0.0000  2 H 1.76
Re 0.2500 0.2500 0.7500  2 H 1.76
Re 0.2500 0.7500 0.2500  2 H 1.76
Re 0.5000 0.0000 0.5000  2 H 1.76
Re 0.5000 0.5000 0.5000  2 H 1.76
Re 0.7500 0.2500 0.7500  2 H 1.76
Re 0.7500 0.7500 0.2500  2 H 1.76
H 0.0000 0.2500 0.8750  4 Re 1.76
H 0.0000 0.7500 0.1250  4 Re 1.76
H 0.5000 0.2500 0.6250  4 Re 1.76
H 0.5000 0.7500 0.3750  4 Re 1.76

***

Short version: version b is the most stable of them.

***

Version a
# LaZrRe2H

A geometry-optimized LaZrRe2H structure (PBE, the Alexandria database).

Values from the calculation:
* space-group type: P4/mmm
* total magnetization: 0.00 Bohr magnetons per cell

abc: 4.7024 4.7024 3.8145
angles: 90.00 90.00 90.00
Closest atoms and distances in Å follow each position.
Sites, in units of the cell vectors:
La 0.0000 0.0000 0.0000  8 Re 3.03, 4 Zr 3.33
Zr 0.5000 0.5000 0.0000  2 H 1.91
Re 0.0000 0.5000 0.5000  2 H 2.35
Re 0.5000 0.0000 0.5000  2 H 2.35
H 0.5000 0.5000 0.5000  2 Zr 1.91

***

Version b
# LaZrRe2H

A geometry-optimized LaZrRe2H structure (PBE, the Alexandria database).

Values from the calculation:
* space-group type: P4/mmm
* total magnetization: 1.45 Bohr magnetons per cell

abc: 4.7583 4.7583 6.0390
angles: 90.00 90.00 90.00
Closest atoms and distances in Å follow each position.
Sites, in units of the cell vectors:
La 0.0000 0.0000 0.0000  2 Zr 3.02, 4 H 3.36
Zr 0.0000 0.0000 0.5000  4 Re 2.38
Re 0.0000 0.5000 0.5000  2 Zr 2.38
Re 0.5000 0.0000 0.5000  2 Zr 2.38
H 0.5000 0.5000 0.0000  4 La 3.36

***

Short version: version a is the most stable of them.

***

Version a
# LaHRh2

A geometry-optimized LaHRh2 structure (PBE, the Alexandria database).

Values from the calculation:
* space-group type: Fm-3m
* total magnetization: 0.00 Bohr magnetons per cell

abc: 6.4149 6.4149 6.4149
angles: 90.00 90.00 90.00
Closest atoms and distances in Å follow each position.
Sites, in units of the cell vectors:
La 0.0000 0.0000 0.0000  8 Rh 2.78
La 0.0000 0.5000 0.5000  8 Rh 2.78
La 0.5000 0.0000 0.5000  8 Rh 2.78
La 0.5000 0.5000 0.0000  8 Rh 2.78
H 0.0000 0.0000 0.5000  8 Rh 2.78
H 0.0000 0.5000 0.0000  8 Rh 2.78
H 0.5000 0.0000 0.0000  8 Rh 2.78
H 0.5000 0.5000 0.5000  8 Rh 2.78
Rh 0.2500 0.2500 0.2500  4 H 2.78, 4 La 2.78
Rh 0.2500 0.2500 0.7500  4 H 2.78, 4 La 2.78
Rh 0.2500 0.7500 0.2500  4 H 2.78, 4 La 2.78
Rh 0.2500 0.7500 0.7500  4 H 2.78, 4 La 2.78
Rh 0.7500 0.2500 0.2500  4 H 2.78, 4 La 2.78
Rh 0.7500 0.2500 0.7500  4 H 2.78, 4 La 2.78
Rh 0.7500 0.7500 0.2500  4 H 2.78, 4 La 2.78
Rh 0.7500 0.7500 0.7500  4 La 2.78, 4 H 2.78

***

Version b
# LaHRh2

A geometry-optimized LaHRh2 structure (PBE, the Alexandria database).

Values from the calculation:
* space-group type: R-3m
* total magnetization: 0.00 Bohr magnetons per cell

abc: 3.0465 3.0465 21.9919
angles: 90.00 90.00 120.00
Closest atoms and distances in Å follow each position.
Sites, in units of the cell vectors:
La 0.0000 0.0000 0.0000  2 Rh 2.52
La 0.3333 0.6667 0.6667  2 Rh 2.52
La 0.6667 0.3333 0.3333  2 Rh 2.52
H 0.0000 0.0000 0.5000  6 Rh 2.10
H 0.3333 0.6667 0.1667  6 Rh 2.10
H 0.6667 0.3333 0.8333  6 Rh 2.10
Rh 0.0000 0.0000 0.1145  3 H 2.10
Rh 0.0000 0.0000 0.8855  3 H 2.10
Rh 0.3333 0.6667 0.5522  3 H 2.10
Rh 0.3333 0.6667 0.7811  3 H 2.10
Rh 0.6667 0.3333 0.2189  3 H 2.10
Rh 0.6667 0.3333 0.4478  3 H 2.10

***

Version c
# LaHRh2

A geometry-optimized LaHRh2 structure (PBE, the Alexandria database).

Values from the calculation:
* space-group type: I-42d
* total magnetization: 0.00 Bohr magnetons per cell

abc: 5.6470 5.6470 7.9671
angles: 90.00 90.00 90.00
Closest atoms and distances in Å follow each position.
Sites, in units of the cell vectors:
La 0.0000 0.0000 0.0000  12 Rh 3.29-3.33, 4 La 3.46, 4 H 3.46
La 0.0000 0.5000 0.2500  12 Rh 3.29-3.33, 4 H 3.46, 4 La 3.46
La 0.5000 0.0000 0.7500  12 Rh 3.29-3.33, 4 La 3.46, 4 H 3.46
La 0.5000 0.5000 0.5000  12 Rh 3.29-3.33, 4 H 3.46, 4 La 3.46
H 0.0000 0.0000 0.5000  4 Rh 1.73
H 0.0000 0.5000 0.7500  4 Rh 1.73
H 0.5000 0.0000 0.2500  4 Rh 1.73
H 0.5000 0.5000 0.0000  4 Rh 1.73
Rh 0.0034 0.2500 0.6250  2 H 1.73
Rh 0.2500 0.5034 0.8750  2 H 1.73
Rh 0.2500 0.9966 0.3750  2 H 1.73
Rh 0.4966 0.2500 0.1250  2 H 1.73
Rh 0.5034 0.7500 0.1250  2 H 1.73
Rh 0.7500 0.0034 0.3750  2 H 1.73
Rh 0.7500 0.4966 0.8750  2 H 1.73
Rh 0.9966 0.7500 0.6250  2 H 1.73

***

Short version: version c is the most stable of them.

***

Version a
# LaSnHRh2

A geometry-optimized LaSnHRh2 structure (PBE, the Alexandria database).

Values from the calculation:
* space-group type: P4/mmm
* total magnetization: 0.00 Bohr magnetons per cell

abc: 5.0943 5.0943 3.8997
angles: 90.00 90.00 90.00
Closest atoms and distances in Å follow each position.
Sites, in units of the cell vectors:
La 0.0000 0.0000 0.0000  2 H 1.95
Sn 0.5000 0.5000 0.5000  8 Rh 3.21
H 0.0000 0.0000 0.5000  2 La 1.95
Rh 0.0000 0.5000 0.0000  2 La 2.55
Rh 0.5000 0.0000 0.0000  2 La 2.55

***

Version b
# LaSnHRh2

A geometry-optimized LaSnHRh2 structure (PBE, the Alexandria database).

Values from the calculation:
* space-group type: Cmcm
* total magnetization: 0.00 Bohr magnetons per cell

abc: 6.1555 6.1555 7.3820
angles: 90.00 90.00 140.66
Closest atoms and distances in Å follow each position.
Sites, in units of the cell vectors:
La 0.0657 0.9343 0.7500  4 H 2.88, 4 Rh 3.17
La 0.9343 0.0657 0.2500  4 H 2.88, 4 Rh 3.17
Sn 0.2145 0.7855 0.2500  6 Rh 2.67-2.70
Sn 0.7855 0.2145 0.7500  6 Rh 2.67-2.70
H 0.5000 0.5000 0.0000  2 Rh 1.76
H 0.5000 0.5000 0.5000  2 Rh 1.76
Rh 0.3509 0.6491 0.5465  1 H 1.76
Rh 0.3509 0.6491 0.9535  1 H 1.76
Rh 0.6491 0.3509 0.0465  1 H 1.76
Rh 0.6491 0.3509 0.4535  1 H 1.76

***

Short version: version b is the most stable of them.

***

Version a
# LaHRu

A geometry-optimized LaHRu structure (PBE, the Alexandria database).

Values from the calculation:
* space-group type: P-6m2
* total magnetization: 0.00 Bohr magnetons per cell

abc: 3.6916 3.6916 4.1259
angles: 90.00 90.00 120.00
Closest atoms and distances in Å follow each position.
Sites, in units of the cell vectors:
La 0.0000 0.0000 0.0000  6 H 2.97, 6 Ru 2.97
H 0.3333 0.6667 0.5000  3 Ru 2.13
Ru 0.6667 0.3333 0.5000  3 H 2.13

***

Version b
# LaHRu

A geometry-optimized LaHRu structure (PBE, the Alexandria database).

Values from the calculation:
* space-group type: Cmcm
* total magnetization: 0.00 Bohr magnetons per cell

abc: 8.6364 8.6364 4.3124
angles: 90.00 90.00 131.95
Closest atoms and distances in Å follow each position.
Sites, in units of the cell vectors:
La 0.1112 0.8888 0.7500  3 H 2.41-2.42
La 0.3856 0.6144 0.7500  3 H 2.44-2.47
La 0.6144 0.3856 0.2500  3 H 2.44-2.47
La 0.8888 0.1112 0.2500  3 H 2.41-2.42
H 0.0415 0.9585 0.2500  3 La 2.41-2.42, 2 H 2.52
H 0.4576 0.5424 0.2500  3 La 2.44-2.47, 2 H 2.54
H 0.5424 0.4576 0.7500  3 La 2.44-2.47, 2 H 2.54
H 0.9585 0.0415 0.7500  3 La 2.41-2.42, 2 H 2.52
Ru 0.0563 0.5744 0.2500  3 Ru 2.36-2.60
Ru 0.4256 0.9437 0.2500  3 Ru 2.36-2.60
Ru 0.5744 0.0563 0.7500  3 Ru 2.36-2.60
Ru 0.9437 0.4256 0.7500  3 Ru 2.36-2.60

***

Short version: version b is the most stable of them.